Here is KNaCr2F6 after structural relaxation from Alexandria via LeMat-Bulk. Energies are from PBE+U.

abc: 5.8346 5.8577 5.8678
angles: 117.10 92.69 119.33
Closest atoms and distances in Å follow each position.
Space group P1 (No. 1)
Inequivalent atoms, fractional coordinates:
K 0.0000 0.0000 0.0000 x1  5 F 2.55-2.76
Na 0.5237 0.0691 0.5372 x1  6 F 2.40-2.61
Cr 0.2522 0.5173 0.7528 x1  4 F 2.01-2.08
Cr 0.7553 0.5120 0.2562 x1  4 F 2.02-2.08
F 0.0598 0.9728 0.4397 x1  1 Cr 2.02
F 0.4807 0.0509 0.1038 x1  1 Cr 2.02
F 0.4932 0.6467 0.5390 x1  1 Cr 2.03
F 0.5326 0.4833 0.9447 x1  2 Cr 2.08
F 0.9497 0.5101 0.5527 x1  2 Cr 2.04-2.05
F 0.9848 0.4016 0.9478 x1  1 Cr 2.01

Values from the calculation:
VASP energy in eV/atom: -5.52
ρ in g/cm³: 3.19